(1)
{
  "formula": "KSrBe2C",
  "functional": "PBE",
  "state": "relaxed",
  "dft_energy_ev_per_atom": -1.75,
  "sg": "P4/mmm, No. 123",
  "cell": [[5.204, 0.000, 0.000], [0.000, 5.099, 0.000], [0.000, 0.000, 5.204]],
  "species": ["Sr", "K", "C", "Be", "Be"],
  "frac_coords": [[0.500, 0.500, 0.500], [0.000, 0.000, 0.000], [0.000, 0.500, 0.000], [0.000, 0.000, 0.500], [0.500, 0.000, 0.000]]
}

***

(2)
{
  "formula": "SmSi7Ru3",
  "functional": "PBE",
  "state": "relaxed",
  "dft_energy_ev_per_atom": -6.94,
  "sg": "R-3c, No. 167",
  "cell": [[6.739, 0.000, 3.629], [2.392, 6.300, 3.629], [0.029, 0.020, 8.018]],
  "species": ["Sm", "Sm", "Si", "Si", "Si", "Si", "Si", "Si", "Si", "Si", "Si", "Si", "Si", "Si", "Si", "Si", "Ru", "Ru", "Ru", "Ru", "Ru", "Ru"],
  "frac_coords": [[0.500, 0.500, 0.500], [0.000, 0.000, 0.000], [0.669, 0.061, 0.416], [0.061, 0.853, 0.416], [0.853, 0.669, 0.416], [0.831, 0.647, 0.084], [0.439, 0.831, 0.084], [0.647, 0.439, 0.084], [0.331, 0.939, 0.584], [0.939, 0.147, 0.584], [0.147, 0.331, 0.584], [0.169, 0.353, 0.916], [0.561, 0.169, 0.916], [0.353, 0.561, 0.916], [0.750, 0.750, 0.750], [0.250, 0.250, 0.250], [0.422, 0.078, 0.750], [0.078, 0.750, 0.750], [0.750, 0.422, 0.750], [0.578, 0.922, 0.250], [0.922, 0.250, 0.250], [0.250, 0.578, 0.250]]
}

***

(3)
{
  "formula": "LaTbSc2S4",
  "functional": "PBE",
  "state": "relaxed",
  "dft_energy_ev_per_atom": -6.79,
  "sg": "P2/m, No. 10",
  "cell": [[-0.970, -0.083, -3.691], [0.516, -6.768, 0.016], [-5.931, -2.613, 1.618]],
  "species": ["La", "Tb", "Sc", "Sc", "S", "S", "S", "S"],
  "frac_coords": [[0.500, 0.500, 0.000], [0.000, 0.500, 0.500], [0.000, 0.000, 0.000], [0.500, 0.000, 0.500], [0.000, 0.780, 0.732], [0.000, 0.220, 0.268], [0.500, 0.774, 0.250], [0.500, 0.226, 0.750]]
}

***

(4)
{
  "formula": "In2ReW",
  "functional": "PBE",
  "state": "relaxed",
  "dft_energy_ev_per_atom": -6.98,
  "sg": "Pmmm, No. 47",
  "de_polymorph_ev_per_fu": 1.89,
  "cell": [[-0.378, -0.535, 3.138], [-3.937, -2.587, -0.916], [2.639, -3.893, -0.346]],
  "species": ["In", "In", "Re", "W"],
  "frac_coords": [[0.000, 0.000, 0.000], [0.500, 0.500, 0.000], [0.500, 0.000, 0.500], [0.000, 0.500, 0.500]]
}

***

(5)
{
  "formula": "CaSn2Pb",
  "functional": "PBE",
  "state": "relaxed",
  "dft_energy_ev_per_atom": -3.56,
  "sg": "R3m, No. 160",
  "cell": [[-3.601, -0.107, 3.492], [-2.811, -4.115, 0.579], [1.975, -3.629, 5.530]],
  "species": ["Ca", "Sn", "Sn", "Pb"],
  "frac_coords": [[0.674, 0.674, 0.977], [0.088, 0.088, 0.737], [0.245, 0.245, 0.265], [0.493, 0.493, 0.521]]
}

***

(6)
{
  "formula": "Rb2Na4F",
  "functional": "PBE",
  "state": "relaxed",
  "dft_energy_ev_per_atom": -1.95,
  "sg": "I4/mmm, No. 139",
  "cell": [[-3.281, 1.262, 3.576], [-3.158, -3.527, -1.652], [1.990, -9.401, 8.660]],
  "species": ["Na", "Na", "Na", "Na", "Rb", "Rb", "F"],
  "frac_coords": [[0.906, 0.906, 0.188], [0.094, 0.094, 0.812], [0.000, 0.500, 0.000], [0.500, 0.000, 0.000], [0.681, 0.681, 0.637], [0.319, 0.319, 0.363], [0.000, 0.000, 0.000]]
}

***

no.,ρ (Mg/m³)
1,1.885
2,6.361
3,5.231
4,13.726
5,5.892
6,1.497